Material: Nd5ErHg6
Method: DFT, PBE-GGA
State: relaxed

Properties
As for the space group: P2/m. For the total energy, the calculation gives -2.986 eV per atom.

```
12
Lattice="5.372 0.000 0.000 0.000 7.664 0.000 -2.668 0.000 8.089" Properties=species:S:1:pos:R:3 pbc="T T T"
Nd 0.000 0.000 0.000
Nd 0.012 0.000 5.351
Nd 0.012 3.832 5.396
Nd 2.692 3.832 2.693
Nd 2.692 0.000 2.738
Er 0.000 3.832 0.000
Hg 0.006 1.960 2.619
Hg 0.006 5.703 2.619
Hg 2.686 1.988 0.000
Hg 2.686 5.676 0.000
Hg 2.699 1.960 5.470
Hg 2.699 5.703 5.470
```